(1)
Density functional theory data (GGA-PBE) for LiPm3Tl2 after structural relaxation.

Structure (CIF):
```
data_LiPm3Tl2
_chemical_formula_sum 'Li2 Pm6 Tl4'
_symmetry_space_group_name_H-M 'P -3 m 1'
_symmetry_Int_Tables_number 164
_symmetry_space_group_name_Hall '-P 3 2"'
_cell_length_a 5.4424
_cell_length_b 5.4424
_cell_length_c 13.3762
_cell_angle_alpha 90.00
_cell_angle_beta 90.00
_cell_angle_gamma 120.00
loop_
_atom_site_label
_atom_site_type_symbol
_atom_site_fract_x
_atom_site_fract_y
_atom_site_fract_z
Li1 Li 0.3333 0.6667 0.1707
Pm1 Pm 0.0000 0.0000 0.2505
Pm2 Pm 0.3333 0.6667 0.4176
Pm3 Pm 0.3333 0.6667 0.9200
Tl1 Tl 0.0000 0.0000 0.0000
Tl2 Tl 0.0000 0.0000 0.5000
Tl3 Tl 0.3333 0.6667 0.6798
```

Calculated values
- volume (Å³/f.u.) = 171.6
- ΔH_f (0 K) (eV per atom) = -0.2659
- DOS at the Fermi energy (states/eV per cell) = 14.0
- crystal system = trigonal
- total energy (eV per atom) = -3.75
- total magnetic moment (μB per formula unit) = 0.00

=====

(2)
Density functional theory data (GGA-PBE) for LiPm6Tl5 after structural relaxation.

Structure (CIF):
```
data_LiPm6Tl5
_chemical_formula_sum 'Li2 Pm12 Tl10'
_symmetry_space_group_name_H-M 'C m m m'
_symmetry_Int_Tables_number 65
_symmetry_space_group_name_Hall '-C 2 2'
_cell_length_a 5.477
_cell_length_b 16.525
_cell_length_c 7.679
_cell_angle_alpha 90.00
_cell_angle_beta 90.00
_cell_angle_gamma 90.00
loop_
_atom_site_label
_atom_site_type_symbol
_atom_site_fract_x
_atom_site_fract_y
_atom_site_fract_z
Li1 Li 0.000 0.000 0.000
Pm1 Pm 0.000 0.168 0.246
Pm2 Pm 0.000 0.500 0.253
Tl1 Tl 0.000 0.000 0.500
Tl2 Tl 0.000 0.334 0.500
Tl3 Tl 0.000 0.344 0.000
```

Calculated values
- volume (Å³/f.u.) = 347.5
- ΔH_f (0 K) (eV per atom) = -0.3340
- DOS at the Fermi energy (states/eV per cell) = 25.5
- crystal system = orthorhombic
- total energy (eV per atom) = -3.85
- total magnetic moment (μB per formula unit) = 0.00

=====

(3)
Density functional theory data (GGA-PBE) for LiPm2Tl6 after structural relaxation.

Structure (CIF):
```
data_LiPm2Tl6
_chemical_formula_sum 'Li2 Pm4 Tl12'
_symmetry_space_group_name_H-M 'C m m m'
_symmetry_Int_Tables_number 65
_symmetry_space_group_name_Hall '-C 2 2'
_cell_length_a 8.592
_cell_length_b 16.351
_cell_length_c 3.657
_cell_angle_alpha 90.00
_cell_angle_beta 90.00
_cell_angle_gamma 90.00
loop_
_atom_site_label
_atom_site_type_symbol
_atom_site_fract_x
_atom_site_fract_y
_atom_site_fract_z
Li1 Li 0.000 0.000 0.000
Pm1 Pm 0.000 0.308 0.500
Tl1 Tl 0.183 0.155 0.000
Tl2 Tl 0.188 0.500 0.500
```

Calculated values
- volume (Å³/f.u.) = 256.9
- ΔH_f (0 K) (eV per atom) = -0.1409
- DOS at the Fermi energy (states/eV per cell) = 11.5
- crystal system = orthorhombic
- total energy (eV per atom) = -2.99
- total magnetic moment (μB per formula unit) = 0.00

=====

(4)
Density functional theory data (GGA-PBE) for LiPmTmTl after structural relaxation.

Structure (CIF):
```
data_LiPmTmTl
_chemical_formula_sum 'Li4 Pm4 Tm4 Tl4'
_symmetry_space_group_name_H-M 'F -4 3 m'
_symmetry_Int_Tables_number 216
_symmetry_space_group_name_Hall 'F -4 2 3'
_cell_length_a 7.526
_cell_length_b 7.526
_cell_length_c 7.526
_cell_angle_alpha 90.00
_cell_angle_beta 90.00
_cell_angle_gamma 90.00
loop_
_atom_site_label
_atom_site_type_symbol
_atom_site_fract_x
_atom_site_fract_y
_atom_site_fract_z
Li1 Li 0.000 0.000 0.000
Pm1 Pm 0.250 0.250 0.750
Tm1 Tm 0.250 0.250 0.250
Tl1 Tl 0.000 0.000 0.500
```

Calculated values
- volume (Å³/f.u.) = 106.6
- ΔH_f (0 K) (eV per atom) = -0.1860
- DOS at the Fermi energy (states/eV per cell) = 14.8
- crystal system = cubic
- total energy (eV per atom) = -3.56
- total magnetic moment (μB per formula unit) = 0.00

=====

(5)
Density functional theory data (GGA-PBE) for Li2PmTm2Tl2 after structural relaxation.

Structure (CIF):
```
data_Li2PmTm2Tl2
_chemical_formula_sum 'Li6 Pm3 Tm6 Tl6'
_symmetry_space_group_name_H-M 'R -3 m'
_symmetry_Int_Tables_number 166
_symmetry_space_group_name_Hall '-R 3 2"'
_cell_length_a 4.8492
_cell_length_b 4.8492
_cell_length_c 26.6028
_cell_angle_alpha 90.00
_cell_angle_beta 90.00
_cell_angle_gamma 120.00
loop_
_atom_site_label
_atom_site_type_symbol
_atom_site_fract_x
_atom_site_fract_y
_atom_site_fract_z
Li1 Li 0.0000 0.0000 0.0954
Pm1 Pm 0.0000 0.0000 0.5000
Tm1 Tm 0.0000 0.0000 0.3713
Tl1 Tl 0.0000 0.0000 0.2414
```

Calculated values
- volume (Å³/f.u.) = 180.6
- ΔH_f (0 K) (eV per atom) = -0.1745
- DOS at the Fermi energy (states/eV per cell) = 16.1
- crystal system = trigonal
- total energy (eV per atom) = -3.35
- total magnetic moment (μB per formula unit) = 0.00

=====

(6)
Density functional theory data (GGA-PBE) for Li2Pm2TmTl2 after structural relaxation.

Structure (CIF):
```
data_Li2Pm2TmTl2
_chemical_formula_sum 'Li6 Pm6 Tm3 Tl6'
_symmetry_space_group_name_H-M 'R -3 m'
_symmetry_Int_Tables_number 166
_symmetry_space_group_name_Hall '-R 3 2"'
_cell_length_a 4.8284
_cell_length_b 4.8284
_cell_length_c 27.3358
_cell_angle_alpha 90.00
_cell_angle_beta 90.00
_cell_angle_gamma 120.00
loop_
_atom_site_label
_atom_site_type_symbol
_atom_site_fract_x
_atom_site_fract_y
_atom_site_fract_z
Li1 Li 0.0000 0.0000 0.1107
Pm1 Pm 0.0000 0.0000 0.3742
Tm1 Tm 0.0000 0.0000 0.5000
Tl1 Tl 0.0000 0.0000 0.2338
```

Calculated values
- volume (Å³/f.u.) = 184.0
- ΔH_f (0 K) (eV per atom) = -0.1808
- DOS at the Fermi energy (states/eV per cell) = 16.2
- crystal system = trigonal
- total energy (eV per atom) = -3.40
- total magnetic moment (μB per formula unit) = 0.00

=====

(7)
Density functional theory data (GGA-PBE) for Li2Pm2YTl2 after structural relaxation.

Structure (CIF):
```
data_Li2Pm2YTl2
_chemical_formula_sum 'Li6 Pm6 Y3 Tl6'
_symmetry_space_group_name_H-M 'R -3 m'
_symmetry_Int_Tables_number 166
_symmetry_space_group_name_Hall '-R 3 2"'
_cell_length_a 4.8487
_cell_length_b 4.8487
_cell_length_c 27.3934
_cell_angle_alpha 90.00
_cell_angle_beta 90.00
_cell_angle_gamma 120.00
loop_
_atom_site_label
_atom_site_type_symbol
_atom_site_fract_x
_atom_site_fract_y
_atom_site_fract_z
Li1 Li 0.0000 0.0000 0.1078
Pm1 Pm 0.0000 0.0000 0.3734
Y1 Y 0.0000 0.0000 0.5000
Tl1 Tl 0.0000 0.0000 0.2348
```

Calculated values
- volume (Å³/f.u.) = 185.9
- ΔH_f (0 K) (eV per atom) = -0.2002
- DOS at the Fermi energy (states/eV per cell) = 16.9
- crystal system = trigonal
- total energy (eV per atom) = -3.70
- total magnetic moment (μB per formula unit) = 0.00

=====

(8)
Density functional theory data (GGA-PBE) for Li2PmYTl4 after structural relaxation.

Structure (CIF):
```
data_Li2PmYTl4
_chemical_formula_sum 'Li6 Pm3 Y3 Tl12'
_symmetry_space_group_name_H-M 'R -3 m'
_symmetry_Int_Tables_number 166
_symmetry_space_group_name_Hall '-R 3 2"'
_cell_length_a 5.2315
_cell_length_b 5.2315
_cell_length_c 25.5627
_cell_angle_alpha 90.00
_cell_angle_beta 90.00
_cell_angle_gamma 120.00
loop_
_atom_site_label
_atom_site_type_symbol
_atom_site_fract_x
_atom_site_fract_y
_atom_site_fract_z
Li1 Li 0.0000 0.0000 0.2494
Pm1 Pm 0.0000 0.0000 0.0000
Y1 Y 0.0000 0.0000 0.5000
Tl1 Tl 0.0000 0.0000 0.1265
Tl2 Tl 0.0000 0.0000 0.3762
```

Calculated values
- volume (Å³/f.u.) = 202.0
- ΔH_f (0 K) (eV per atom) = -0.3296
- DOS at the Fermi energy (states/eV per cell) = 5.4
- crystal system = trigonal
- total energy (eV per atom) = -3.39
- total magnetic moment (μB per formula unit) = 0.00

=====

(9)
Density functional theory data (GGA-PBE) for LiPm2YTl4 after structural relaxation.

Structure (CIF):
```
data_LiPm2YTl4
_chemical_formula_sum 'Li3 Pm6 Y3 Tl12'
_symmetry_space_group_name_H-M 'R -3 m'
_symmetry_Int_Tables_number 166
_symmetry_space_group_name_Hall '-R 3 2"'
_cell_length_a 5.2977
_cell_length_b 5.2977
_cell_length_c 26.9147
_cell_angle_alpha 90.00
_cell_angle_beta 90.00
_cell_angle_gamma 120.00
loop_
_atom_site_label
_atom_site_type_symbol
_atom_site_fract_x
_atom_site_fract_y
_atom_site_fract_z
Li1 Li 0.0000 0.0000 0.0000
Pm1 Pm 0.0000 0.0000 0.2556
Y1 Y 0.0000 0.0000 0.5000
Tl1 Tl 0.0000 0.0000 0.1243
Tl2 Tl 0.0000 0.0000 0.3737
```

Calculated values
- volume (Å³/f.u.) = 218.1
- ΔH_f (0 K) (eV per atom) = -0.3556
- DOS at the Fermi energy (states/eV per cell) = 14.2
- crystal system = trigonal
- total energy (eV per atom) = -3.77
- total magnetic moment (μB per formula unit) = 0.00

=====

(10)
Density functional theory data (GGA-PBE) for LiPm4Tl2Zn after structural relaxation.

Structure (CIF):
```
data_LiPm4Tl2Zn
_chemical_formula_sum 'Li3 Pm12 Tl6 Zn3'
_symmetry_space_group_name_H-M 'R -3 m'
_symmetry_Int_Tables_number 166
_symmetry_space_group_name_Hall '-R 3 2"'
_cell_length_a 5.4051
_cell_length_b 5.4051
_cell_length_c 26.2908
_cell_angle_alpha 90.00
_cell_angle_beta 90.00
_cell_angle_gamma 120.00
loop_
_atom_site_label
_atom_site_type_symbol
_atom_site_fract_x
_atom_site_fract_y
_atom_site_fract_z
Li1 Li 0.0000 0.0000 0.0000
Pm1 Pm 0.0000 0.0000 0.1311
Pm2 Pm 0.0000 0.0000 0.3819
Tl1 Tl 0.0000 0.0000 0.2576
Zn1 Zn 0.0000 0.0000 0.5000
```

Calculated values
- volume (Å³/f.u.) = 221.7
- ΔH_f (0 K) (eV per atom) = -0.2897
- DOS at the Fermi energy (states/eV per cell) = 25.3
- crystal system = trigonal
- total energy (eV per atom) = -3.66
- total magnetic moment (μB per formula unit) = 0.00

=====

The lowest DOS at the Fermi energy belongs to which entry?
Li2PmYTl4